Material: HfTcHgO6
Method: DFT, PBE
State: optimized geometry

```
HfTcHgO6
1.0
5.350 0.000 0.000
2.675 4.633 0.000
0.000 0.000 4.952
O Hg Hf Tc
6 1 1 1
Direct
0.020 0.366 0.280 O
0.020 0.614 0.720 O
0.365 0.615 0.280 O
0.366 0.020 0.720 O
0.614 0.366 0.720 O
0.614 0.020 0.280 O
0.000 0.000 0.000 Hg
0.667 0.667 0.500 Hf
0.333 0.333 0.500 Tc
```

## Properties
* formation energy without anion corrections: -1.7086 eV per atom
* DOS at the Fermi energy: 0.401 states/eV/atom